Ag2GeC | PBE-GGA | relaxed

Cell and atoms, written as POSCAR:
```
Ag2GeC
1.0
-2.4174 2.4174 6.4919
2.4174 -2.4174 6.4919
2.4174 2.4174 -6.4919
Ag Ge C
4 2 2
direct
0.0158 0.6250 0.8908
0.3750 0.2658 0.3908
0.7342 0.1250 0.1092
0.8750 0.9842 0.6092
0.2500 0.7500 0.5000
0.5000 0.5000 0.0000
0.0000 0.0000 0.0000
0.7500 0.2500 0.5000
```

Calculated values
DFT formation energy: 124 kJ/mol of atoms

AgGe2C | PBE-GGA | relaxed

Cell and atoms, written as POSCAR:
```
AgGe2C
1.0
0.0000 3.1844 3.1844
3.1844 0.0000 3.1844
3.1844 3.1844 0.0000
Ag Ge C
1 2 1
direct
0.0000 0.0000 0.0000
0.2500 0.2500 0.2500
0.7500 0.7500 0.7500
0.5000 0.5000 0.5000
```

Calculated values
DFT formation energy: 134 kJ/mol of atoms

AgGe3C | PBE-GGA | relaxed

Cell and atoms, written as POSCAR:
```
AgGe3C
1.0
4.3638 0.0000 0.0000
0.0000 4.3638 0.0000
0.0000 0.0000 4.3638
Ag Ge C
1 3 1
direct
0.0000 0.0000 0.0000
0.0000 0.5000 0.5000
0.5000 0.0000 0.5000
0.5000 0.5000 0.0000
0.5000 0.5000 0.5000
```

Calculated values
DFT formation energy: 90 kJ/mol of atoms

Ag2GeIrC | PBE-GGA | relaxed

Cell and atoms, written as POSCAR:
```
Ag2GeIrC
1.0
5.1825 0.0000 0.0000
0.0000 5.1825 0.0000
0.0000 0.0000 4.6024
Ag Ge Ir C
2 1 1 1
direct
0.0000 0.5000 0.0000
0.5000 0.0000 0.0000
0.0000 0.0000 0.5000
0.0000 0.0000 0.0000
0.5000 0.5000 0.5000
```

Calculated values
DFT formation energy: 186 kJ/mol of atoms

LaAgGeC2 | PBE-GGA | relaxed

Cell and atoms, written as POSCAR:
```
LaAgGeC2
1.0
4.4208 0.0000 0.0000
0.0000 4.4208 0.0000
0.0000 0.0000 5.9219
La Ag Ge C
1 1 1 2
direct
0.0000 0.0000 0.0000
0.0000 0.0000 0.5000
0.5000 0.5000 0.5000
0.0000 0.5000 0.0000
0.5000 0.0000 0.0000
```

Calculated values
DFT formation energy: 203 kJ/mol of atoms

MgAg2GeC | PBE-GGA | relaxed

Cell and atoms, written as POSCAR:
```
MgAg2GeC
1.0
4.4318 0.0000 0.0000
0.0000 4.4318 0.0000
0.0000 0.0000 4.3316
Mg Ag Ge C
1 2 1 1
direct
0.0000 0.0000 0.0000
0.0000 0.5000 0.5000
0.5000 0.0000 0.5000
0.5000 0.5000 0.0000
0.0000 0.0000 0.5000
```

Calculated values
DFT formation energy: 61 kJ/mol of atoms

MnAgGe2C | PBE-GGA | relaxed

Cell and atoms, written as POSCAR:
```
MnAgGe2C
1.0
4.7239 0.0000 0.0000
0.0000 4.7239 0.0000
0.0000 0.0000 3.7309
Mn Ag Ge C
1 1 2 1
direct
0.0000 0.0000 0.0000
0.5000 0.5000 0.5000
0.0000 0.5000 0.0000
0.5000 0.0000 0.0000
0.0000 0.0000 0.5000
```

Calculated values
DFT formation energy: 69 kJ/mol of atoms

NaAgGeC2 | PBE-GGA | relaxed

Cell and atoms, written as POSCAR:
```
NaAgGeC2
1.0
4.1884 0.0000 0.0000
0.0000 4.1884 0.0000
0.0000 0.0000 5.2584
Na Ag Ge C
1 1 1 2
direct
0.0000 0.0000 0.0000
0.5000 0.5000 0.5000
0.5000 0.5000 0.0000
0.0000 0.5000 0.5000
0.5000 0.0000 0.5000
```

Calculated values
DFT formation energy: 208 kJ/mol of atoms

Number 1: total magnetic moment 0.00 μB per cell. Number 2: total magnetic moment 0.00 μB per cell. Number 3: total magnetic moment 0.00 μB per cell. Number 4: total magnetic moment 1.84 μB per cell. Number 5: total magnetic moment 0.00 μB per cell. Number 6: total magnetic moment 0.00 μB per cell. Number 7: total magnetic moment 0.13 μB per cell. Number 8: total magnetic moment 0.00 μB per cell.